A geometry-optimized GdTmTlHg structure. Source: Alexandria, functional PBE-GGA.

Density = 11.498 Mg/m³
E_form = -0.4171 eV/atom
VASP energy = -5.72 eV per atom
Size of the total moment = 1.956 μB/atom

Geometry as POSCAR:
```
GdTmTlHg
1.0
5.305 0.000 0.000
2.653 4.595 0.000
2.653 1.532 4.332
Hg Tl Tm Gd
1 1 1 1
direct
0.250 0.250 0.250
0.750 0.750 0.750
0.500 0.500 0.500
0.000 0.000 0.000
```